# 1
Here is a relaxed structure of LiCd2Mo from the Alexandria database. Energies are from PBE.

a = 2.818 Å, b = 2.818 Å, c = 8.992 Å
α = 90.00°, β = 90.00°, γ = 90.00°
Space group P4/mmm (No. 123)
Asymmetric unit:
1 Li 0.000 0.000 0.000 [1 per cell]
2 Cd 0.500 0.500 0.246 [2 per cell]
3 Mo 0.000 0.000 0.500 [1 per cell]

Properties
As for the density of states at the Fermi level: 1.51 states/eV/cell. For the calculated formation energy, the calculation gives 0.6 eV per formula unit. The total magnetic moment comes out at 0.000 μB per atom. The value obtained for the energy above the most stable polymorph in this dataset is 0.000 eV/atom.

# 2
Here is a relaxed structure of Li2CdMo from the Alexandria database. Energies are from PBE.

a = 3.141 Å, b = 4.403 Å, c = 9.724 Å
α = 90.00°, β = 90.00°, γ = 90.00°
Space group Cmmm (No. 65)
Asymmetric unit:
1 Li 0.000 0.000 0.242 [4 per cell]
2 Cd 0.000 0.500 0.500 [2 per cell]
3 Mo 0.000 0.500 0.000 [2 per cell]

Properties
As for the density of states at the Fermi level: 6.22 states/eV/cell. For the calculated formation energy, the calculation gives 0.8 eV per formula unit. The total magnetic moment comes out at 0.000 μB per atom.

# 3
Here is a relaxed structure of LiCdMo2 from the Alexandria database. Energies are from PBE.

a = 2.668 Å, b = 2.668 Å, c = 9.307 Å
α = 90.00°, β = 90.00°, γ = 90.00°
Space group P4/mmm (No. 123)
Asymmetric unit:
1 Li 0.000 0.000 0.000 [1 per cell]
2 Cd 0.000 0.000 0.500 [1 per cell]
3 Mo 0.500 0.500 0.244 [2 per cell]

Properties
As for the density of states at the Fermi level: 2.12 states/eV/cell. For the calculated formation energy, the calculation gives 2.0 eV per formula unit. The total magnetic moment comes out at 0.000 μB per atom.

# 4
Here is a relaxed structure of LiCdMo2 from the Alexandria database. Energies are from PBE.

a = 3.204 Å, b = 4.559 Å, c = 9.348 Å
α = 90.00°, β = 90.00°, γ = 90.00°
Space group Cmm2 (No. 35)
Asymmetric unit:
1 Li 0.000 0.000 0.000 [2 per cell]
2 Cd 0.000 0.500 0.258 [2 per cell]
3 Mo 0.000 0.000 0.530 [2 per cell]
4 Mo 0.000 0.500 0.751 [2 per cell]

Properties
As for the density of states at the Fermi level: 5.78 states/eV/cell. For the calculated formation energy, the calculation gives 0.8 eV per formula unit. The total magnetic moment comes out at 0.000 μB per atom.

> Look up the total magnetic moment of the third one.

0.000 μB per atom

> Which value of calculated formation energy does entry 2 give?

0.8 eV per formula unit